Sc4Cd: optimized geometry, PBE.

Total magnetization: 1.3 μB/cell
Energy above the most stable polymorph in this dataset: 0.827 kcal/mol of atoms
SG: I4/m, No. 87
Calculated volume: 23.58 Å³ per atom
E: -26.51 eV/cell
Formation energy from the elements: -54 meV per atom

a b c (Å): 5.5473 5.5473 5.5473
angles (deg): 100.11 100.11 130.47
Last column: nearest neighbours and their distance in Å.
Sites, in units of the cell vectors:
Sc 0.1089 0.3087 0.4175  3 Cd 3.10-3.29, 9 Sc 3.14-3.30
Sc 0.3087 0.8911 0.1998  3 Cd 3.10-3.29, 9 Sc 3.14-3.30
Sc 0.6913 0.1089 0.8002  3 Cd 3.10-3.29, 9 Sc 3.14-3.30
Sc 0.8911 0.6913 0.5825  3 Cd 3.10-3.29, 9 Sc 3.14-3.30
Cd 0.5000 0.5000 0.0000  12 Sc 3.10-3.29

***

CeNd2WN4: optimized geometry, PBE.

Energy relative to the elements, uncorrected: -7.607 eV per formula unit
Total magnetization: 1.8 μB/cell
SG: Cmcm, No. 63
Calculated volume: 16.34 Å³ per atom
E: -138.66 eV/cell

a b c (Å): 6.3231 6.3231 12.4731
angles (deg): 90.00 90.00 148.39
Last column: nearest neighbours and their distance in Å.
Sites, in units of the cell vectors:
Ce 0.0878 0.9122 0.7500  6 N 2.56-2.85
Ce 0.9122 0.0878 0.2500  6 N 2.56-2.85
Nd 0.3694 0.6306 0.5380  3 N 2.39-2.44
Nd 0.3694 0.6306 0.9620  3 N 2.39-2.44
Nd 0.6306 0.3694 0.0380  3 N 2.39-2.44
Nd 0.6306 0.3694 0.4620  3 N 2.39-2.44
W 0.1721 0.8279 0.2500  2 N 1.89
W 0.8279 0.1721 0.7500  2 N 1.89
N 0.0000 0.0000 0.0000  4 Nd 2.39
N 0.0000 0.0000 0.5000  4 Nd 2.39
N 0.2705 0.7295 0.1323  1 W 1.89
N 0.2705 0.7295 0.3677  1 W 1.89
N 0.4325 0.5675 0.7500  2 W 2.14
N 0.5675 0.4325 0.2500  2 W 2.14
N 0.7295 0.2705 0.6323  1 W 1.89
N 0.7295 0.2705 0.8677  1 W 1.89

***

DyHfSc: optimized geometry, PBE.

Total magnetization: 0.0 μB/cell
Energy above the most stable polymorph in this dataset: 0.000 kcal/mol of atoms
SG: P2_1/m, No. 11
Calculated volume: 25.81 Å³ per atom
E: -41.57 eV/cell
Formation energy from the elements: 33 meV per atom

a b c (Å): 3.2790 5.1288 9.2078
angles (deg): 90.00 90.03 90.00
Last column: nearest neighbours and their distance in Å.
Sites, in units of the cell vectors:
Dy 0.2491 0.2500 0.1130  2 Dy 3.28, 5 Sc 3.34-3.46, 2 Hf 3.49
Dy 0.7509 0.7500 0.8870  2 Dy 3.28, 5 Sc 3.34-3.46, 2 Hf 3.49
Hf 0.2500 0.7500 0.5521  4 Sc 3.08-3.13, 6 Hf 3.19-3.28
Hf 0.7500 0.2500 0.4479  4 Sc 3.08-3.13, 6 Hf 3.19-3.28
Sc 0.2509 0.2500 0.7370  4 Hf 3.08-3.13, 2 Sc 3.28, 4 Dy 3.34
Sc 0.7491 0.7500 0.2630  4 Hf 3.08-3.13, 2 Sc 3.28, 4 Dy 3.34

***

CrSi2Ir: optimized geometry, PBE.

Energy relative to the elements, uncorrected: -1.426 eV per formula unit
Total magnetization: 0.7 μB/cell
SG: P4/mmm, No. 123
Calculated volume: 12.59 Å³ per atom
E: -30.76 eV/cell

a b c (Å): 4.1677 4.1677 2.8985
angles (deg): 90.00 90.00 90.00
Last column: nearest neighbours and their distance in Å.
Sites, in units of the cell vectors:
Cr 0.0000 0.0000 0.0000  8 Si 2.54
Si 0.0000 0.5000 0.5000  4 Cr 2.54, 4 Ir 2.54
Si 0.5000 0.0000 0.5000  4 Cr 2.54, 4 Ir 2.54
Ir 0.5000 0.5000 0.0000  8 Si 2.54

***

LaAg2IrO6: optimized geometry, PBE.

Energy relative to the elements, uncorrected: -11.036 eV per formula unit
Total magnetization: 0.0 μB/cell
SG: P2_1/c, No. 14
Calculated volume: 13.89 Å³ per atom
E: -120.55 eV/cell

a b c (Å): 5.7874 5.7596 10.0677
angles (deg): 90.00 124.13 90.00
Last column: nearest neighbours and their distance in Å.
Sites, in units of the cell vectors:
La 0.0000 0.0000 0.0000  6 O 2.38-2.46
La 0.0000 0.5000 0.5000  6 O 2.38-2.46
Ag 0.2388 0.0205 0.7460  4 O 2.28-2.46
Ag 0.2388 0.4795 0.2460  4 O 2.28-2.46
Ag 0.7612 0.5205 0.7540  4 O 2.28-2.46
Ag 0.7612 0.9795 0.2540  4 O 2.28-2.46
Ir 0.5000 0.0000 0.5000  6 O 1.92-1.95
Ir 0.5000 0.5000 0.0000  6 O 1.92-1.95
O 0.1920 0.0634 0.2795  1 Ir 1.95
O 0.1920 0.4366 0.7795  1 Ir 1.95
O 0.2439 0.6475 0.0384  1 Ir 1.93
O 0.2439 0.8525 0.5384  1 Ir 1.93
O 0.4178 0.2079 0.0576  1 Ir 1.92
O 0.4178 0.2921 0.5576  1 Ir 1.92
O 0.5822 0.7079 0.4424  1 Ir 1.92
O 0.5822 0.7921 0.9424  1 Ir 1.92
O 0.7561 0.1475 0.4616  1 Ir 1.93
O 0.7561 0.3525 0.9616  1 Ir 1.93
O 0.8080 0.5634 0.2205  1 Ir 1.95
O 0.8080 0.9366 0.7205  1 Ir 1.95

***

Ru2BrCl: optimized geometry, PBE.

Energy relative to the elements, uncorrected: 3.605 eV per formula unit
Total magnetization: 0.5 μB/cell
Energy above the most stable polymorph in this dataset: 16.441 kcal/mol of atoms
SG: Pmmm, No. 47
Calculated volume: 16.96 Å³ per atom
E: -18.47 eV/cell

a b c (Å): 2.9466 4.1879 5.4965
angles (deg): 90.00 90.00 90.00
Last column: nearest neighbours and their distance in Å.
Sites, in units of the cell vectors:
Ru 0.0000 0.0000 0.0000  4 Cl 2.56
Ru 0.5000 0.0000 0.5000  4 Br 2.56
Br 0.0000 0.5000 0.5000  4 Ru 2.56
Cl 0.5000 0.5000 0.0000  4 Ru 2.56